# Co2AuO4, relaxed, DFT PBE+U
# E_tot	-148.05	eV for the cell shown
data_Co2AuO4
_chemical_formula_sum 'Co8 Au4 O16'
_space_group_name_H-M_alt 'I m m a'
_space_group_IT_number 74
_space_group_name_Hall '-I 2b 2'
_cell_length_a 5.843
_cell_length_b 6.344
_cell_length_c 8.336
_cell_angle_alpha 90.00
_cell_angle_beta 90.00
_cell_angle_gamma 90.00
loop_
_atom_site_label
_atom_site_fract_x
_atom_site_fract_y
_atom_site_fract_z
_atom_site_occupancy
Co1 0.000 0.000 0.000 1
Co2 0.250 0.250 0.250 1
Au1 0.000 0.250 0.666 1
O1 0.000 0.056 0.245 1
O2 0.214 0.250 0.021 1